Here is crystalline Y2BeSnPd6 at its relaxed geometry from Alexandria. Energies are from GGA-PBE.

SG = P-1 (2)

Cell lengths 5.6892, 5.7209, 7.1867 Å; angles 109.41, 90.09, 119.78 degrees
Atoms (fractional coordinates):
Y: 0.1613 0.4778 0.2348
Y: 0.8387 0.5222 0.7652
Be: 0.0000 0.0000 0.5000
Sn: 0.5000 0.0000 0.0000
Pd: 0.0887 0.9298 0.1901
Pd: 0.3224 0.9662 0.6382
Pd: 0.3267 0.4808 0.6512
Pd: 0.6733 0.5192 0.3488
Pd: 0.6776 0.0338 0.3618
Pd: 0.9113 0.0702 0.8099

=====

Here is crystalline Sr2BePd at its relaxed geometry from Alexandria. Energies are from GGA-PBE.

SG = I-42d (122)
Excess energy over the best structure of this formula in the dataset = 286 meV per atom

Cell lengths 6.8055, 6.8055, 6.8055 Å; angles 106.18, 106.18, 116.29 degrees
Atoms (fractional coordinates):
Sr: 0.1125 0.6250 0.9875
Sr: 0.3750 0.3625 0.4875
Sr: 0.6375 0.1250 0.0125
Sr: 0.8750 0.8875 0.5125
Be: 0.2500 0.7500 0.5000
Be: 0.5000 0.5000 0.0000
Pd: 0.0000 0.0000 0.0000
Pd: 0.7500 0.2500 0.5000

=====

Here is crystalline SrBe2Pd at its relaxed geometry from Alexandria. Energies are from GGA-PBE.

SG = I4_1/amd (141)
Excess energy over the best structure of this formula in the dataset = 0 meV per atom

Cell lengths 8.3317, 8.3317, 8.3317 Å; angles 147.59, 147.59, 46.50 degrees
Atoms (fractional coordinates):
Sr: 0.3750 0.6250 0.7500
Sr: 0.6250 0.3750 0.2500
Be: 0.0000 0.0000 0.0000
Be: 0.0000 0.0000 0.5000
Be: 0.0000 0.5000 0.0000
Be: 0.5000 0.0000 0.5000
Pd: 0.1250 0.8750 0.2500
Pd: 0.8750 0.1250 0.7500

=====

Here is crystalline SrBePd2 at its relaxed geometry from Alexandria. Energies are from GGA-PBE.

SG = Fm-3m (225)
Excess energy over the best structure of this formula in the dataset = 243 meV per atom

Cell lengths 4.7268, 4.7268, 4.7268 Å; angles 60.00, 60.00, 60.00 degrees
Atoms (fractional coordinates):
Sr: 0.0000 0.0000 0.0000
Be: 0.5000 0.5000 0.5000
Pd: 0.2500 0.2500 0.2500
Pd: 0.7500 0.7500 0.7500

=====

Here is crystalline Sr2BePd at its relaxed geometry from Alexandria. Energies are from GGA-PBE.

SG = Fm-3m (225)
Excess energy over the best structure of this formula in the dataset = 0 meV per atom

Cell lengths 5.3027, 5.3027, 5.3027 Å; angles 60.00, 60.00, 60.00 degrees
Atoms (fractional coordinates):
Sr: 0.2500 0.2500 0.2500
Sr: 0.7500 0.7500 0.7500
Be: 0.0000 0.0000 0.0000
Pd: 0.5000 0.5000 0.5000

=====

Here is crystalline SrBe2Pd2 at its relaxed geometry from Alexandria. Energies are from GGA-PBE.

SG = I4/mmm (139)
Excess energy over the best structure of this formula in the dataset = 0 meV per atom

Cell lengths 5.9171, 5.9171, 5.9171 Å; angles 139.33, 139.33, 58.87 degrees
Atoms (fractional coordinates):
Sr: 0.0000 0.0000 0.0000
Be: 0.3525 0.3525 0.0000
Be: 0.6475 0.6475 0.0000
Pd: 0.2500 0.7500 0.5000
Pd: 0.7500 0.2500 0.5000

=====

| no. | ΔH_f (0 K) (meV/atom) | magnetization (Bohr magnetons per cell) |
| --- | --- | --- |
| 1 | -660 | 0.0 |
| 2 | 321 | 0.0 |
| 3 | -60 | 0.0 |
| 4 | -36 | 0.0 |
| 5 | 35 | 0.0 |
| 6 | -419 | 0.0 |